{"formula": "Nd4Er3ScS8", "functional": "GGA-PBE", "state": "relaxed", "lattice": [[3.901, 2.253, 6.610], [-3.901, 2.253, 6.610], [0.000, -4.505, 6.610]], "species": ["Nd", "Nd", "Nd", "Nd", "Er", "Er", "Er", "Sc", "S", "S", "S", "S", "S", "S", "S", "S"], "fractional_positions": [[0.000, 0.000, 0.000], [0.000, 0.500, 0.500], [0.500, 0.000, 0.500], [0.500, 0.500, 0.000], [0.000, 0.000, 0.500], [0.000, 0.500, 0.000], [0.500, 0.000, 0.000], [0.500, 0.500, 0.500], [0.243, 0.243, 0.243], [0.248, 0.739, 0.739], [0.261, 0.261, 0.752], [0.261, 0.752, 0.261], [0.739, 0.248, 0.739], [0.739, 0.739, 0.248], [0.752, 0.261, 0.261], [0.757, 0.757, 0.757]], "raw_formation_energy_mev_per_atom": -1976.3, "energy_ev_per_atom": -6.483}

***

{"formula": "NdEr4ScS8", "functional": "GGA-PBE", "state": "relaxed", "lattice": [[4.016, 2.318, 6.415], [-4.016, 2.318, 6.415], [0.000, -4.637, 6.415]], "species": ["Nd", "Er", "Er", "Er", "Er", "Sc", "S", "S", "S", "S", "S", "S", "S", "S"], "fractional_positions": [[0.000, 0.000, 0.000], [0.121, 0.620, 0.620], [0.243, 0.243, 0.243], [0.620, 0.121, 0.620], [0.620, 0.620, 0.121], [0.619, 0.619, 0.619], [0.377, 0.377, 0.377], [0.383, 0.383, 0.846], [0.383, 0.846, 0.383], [0.410, 0.852, 0.852], [0.846, 0.383, 0.383], [0.852, 0.410, 0.852], [0.852, 0.852, 0.410], [0.861, 0.861, 0.861]], "raw_formation_energy_mev_per_atom": -1896.3, "energy_ev_per_atom": -6.351}

***

{"formula": "Nd2ErScS4", "functional": "GGA-PBE", "state": "relaxed", "lattice": [[6.722, 0.000, 0.000], [0.000, 3.863, 0.000], [-2.228, 0.000, 6.602]], "species": ["Nd", "Nd", "Er", "Sc", "S", "S", "S", "S"], "fractional_positions": [[0.000, 0.000, 0.000], [0.500, 0.500, 0.000], [0.000, 0.500, 0.500], [0.500, 0.000, 0.500], [0.248, 0.000, 0.726], [0.265, 0.500, 0.278], [0.735, 0.500, 0.722], [0.752, 0.000, 0.274]], "raw_formation_energy_mev_per_atom": -1958.9, "energy_ev_per_atom": -6.576}

***

Copy entry 2 word for word.
{"formula": "NdEr4ScS8", "functional": "GGA-PBE", "state": "relaxed", "lattice": [[4.016, 2.318, 6.415], [-4.016, 2.318, 6.415], [0.000, -4.637, 6.415]], "species": ["Nd", "Er", "Er", "Er", "Er", "Sc", "S", "S", "S", "S", "S", "S", "S", "S"], "fractional_positions": [[0.000, 0.000, 0.000], [0.121, 0.620, 0.620], [0.243, 0.243, 0.243], [0.620, 0.121, 0.620], [0.620, 0.620, 0.121], [0.619, 0.619, 0.619], [0.377, 0.377, 0.377], [0.383, 0.383, 0.846], [0.383, 0.846, 0.383], [0.410, 0.852, 0.852], [0.846, 0.383, 0.383], [0.852, 0.410, 0.852], [0.852, 0.852, 0.410], [0.861, 0.861, 0.861]], "raw_formation_energy_mev_per_atom": -1896.3, "energy_ev_per_atom": -6.351}